Entry 1:
DFT (PBE) results for NiPb after structural relaxation.

Computed properties:
uncorrected energy = -4.50 eV per atom
calculated volume = 21.65 Å³ per atom
DOS(E_F) = 2.94 states/eV/cell

a b c (Å): 7.101 7.101 7.101
angles (deg): 152.48 148.35 42.43
Fractional positions:
Ni1 0.304 0.054 0.250
Ni2 0.696 0.946 0.750
Pb1 0.122 0.372 0.750
Pb2 0.878 0.628 0.250


Entry 2:
DFT (PBE) results for BeAg2Ru after structural relaxation.

Computed properties:
uncorrected energy = -4.21 eV per atom
calculated volume = 15.08 Å³ per atom
DOS(E_F) = 2.22 states/eV/cell

a b c (Å): 5.449 5.449 2.667
angles (deg): 102.23 102.23 122.11
Fractional positions:
Be1 0.000 0.000 0.000
Ag1 0.000 0.500 0.500
Ag2 0.500 0.000 0.500
Ru1 0.500 0.500 0.000


Entry 3:
DFT (PBE) results for RbSr3As after structural relaxation.

Computed properties:
calculated volume = 49.50 Å³ per atom
offset from the most stable computed form = 0.0 kJ/mol of formula units
DOS(E_F) = 4.86 states/eV/cell

a b c (Å): 6.279 6.279 6.279
angles (deg): 90.00 90.00 90.00
Fractional positions:
Rb1 0.000 0.000 0.000
Sr1 0.000 0.500 0.500
Sr2 0.500 0.000 0.500
Sr3 0.500 0.500 0.000
As1 0.500 0.500 0.500


Entry 4:
DFT (PBE) results for CuRu2Rh6 after structural relaxation.

Computed properties:
uncorrected energy = -7.20 eV per atom
calculated volume = 14.53 Å³ per atom
DOS(E_F) = 15.02 states/eV/cell

a b c (Å): 7.713 7.713 7.713
angles (deg): 159.92 123.48 60.60
Fractional positions:
Cu1 0.000 0.000 0.000
Ru1 0.323 0.500 0.823
Ru2 0.677 0.500 0.177
Rh1 0.001 0.327 0.674
Rh2 0.347 0.673 0.674
Rh3 0.358 0.858 0.500
Rh4 0.642 0.142 0.500
Rh5 0.653 0.327 0.326
Rh6 0.999 0.673 0.326


Entry 5:
DFT (PBE) results for NiS3Br after structural relaxation.

Computed properties:
calculated volume = 17.88 Å³ per atom
offset from the most stable computed form = 289.1 kJ/mol of formula units
DOS(E_F) = 6.76 states/eV/cell

a b c (Å): 4.472 4.472 4.472
angles (deg): 90.00 90.00 90.00
Fractional positions:
Ni1 0.000 0.000 0.000
S1 0.000 0.000 0.500
S2 0.000 0.500 0.000
S3 0.500 0.000 0.000
Br1 0.500 0.500 0.500


Entry 6:
DFT (PBE) results for Li8As2Pd after structural relaxation.

Computed properties:
uncorrected energy = -3.27 eV per atom
calculated volume = 15.53 Å³ per atom
DOS(E_F) = 1.10 states/eV/cell

a b c (Å): 7.435 7.435 7.435
angles (deg): 146.39 130.69 61.00
Fractional positions:
Li1 0.113 0.343 0.770
Li2 0.171 0.171 0.000
Li3 0.285 0.000 0.285
Li4 0.427 0.657 0.770
Li5 0.573 0.343 0.230
Li6 0.715 0.000 0.715
Li7 0.829 0.829 0.000
Li8 0.887 0.657 0.230
As1 0.321 0.821 0.500
As2 0.679 0.179 0.500
Pd1 0.000 0.500 0.500